1.
Computed, not measured: a geometry-optimized K2Tl6PdPb structure at the PBE level of DFT.

```
K2Tl6PdPb
1.0
3.8556 2.2260 13.5880
-3.8556 2.2260 13.5880
0.0000 -4.4521 13.5880
K Tl Pd Pb
4 12 2 2
direct
0.1005 0.1005 0.1005
0.2765 0.2765 0.2765
0.7235 0.7235 0.7235
0.8995 0.8995 0.8995
0.0838 0.6658 0.6658
0.2186 0.2186 0.6416
0.2186 0.6416 0.2186
0.3342 0.3342 0.9162
0.3342 0.9162 0.3342
0.3584 0.7814 0.7814
0.6416 0.2186 0.2186
0.6658 0.0838 0.6658
0.6658 0.6658 0.0838
0.7814 0.3584 0.7814
0.7814 0.7814 0.3584
0.9162 0.3342 0.3342
0.0000 0.0000 0.0000
0.5000 0.5000 0.5000
0.4256 0.4256 0.4256
0.5744 0.5744 0.5744
```

Output
Formation energy from the elements (eV per atom): -0.046
Raw total energy (eV/atom): -2.5752

---

2.
Computed, not measured: a geometry-optimized Th2HgPd8 structure at the PBE level of DFT.

```
Th2HgPd8
1.0
-2.4380 3.0239 7.2564
2.4380 -3.0239 7.2564
2.4380 3.0239 -7.2564
Th Hg Pd
2 1 8
direct
0.1785 0.1785 0.0000
0.8215 0.8215 0.0000
0.5000 0.5000 0.0000
0.0927 0.3532 0.7396
0.2491 0.0000 0.2491
0.3204 0.8204 0.5000
0.3864 0.6468 0.7396
0.6136 0.3532 0.2604
0.6796 0.1796 0.5000
0.7509 0.0000 0.7509
0.9073 0.6468 0.2604
```

Output
Formation energy from the elements (eV per atom): -0.559
Raw total energy (eV/atom): -5.7123

---

3.
Computed, not measured: a geometry-optimized Tm12CdIn6 structure at the PBE level of DFT.

```
Tm12CdIn6
1.0
6.7701 3.9087 4.0019
-6.7701 3.9087 4.0019
0.0000 -7.8174 4.0019
Tm Cd In
12 1 6
direct
0.0542 0.9381 0.3220
0.0619 0.6780 0.9458
0.1776 0.4272 0.5668
0.3220 0.0542 0.9381
0.4272 0.5668 0.1776
0.4332 0.8224 0.5728
0.5668 0.1776 0.4272
0.5728 0.4332 0.8224
0.6780 0.9458 0.0619
0.8224 0.5728 0.4332
0.9381 0.3220 0.0542
0.9458 0.0619 0.6780
0.0000 0.0000 0.0000
0.1373 0.6129 0.3036
0.3036 0.1373 0.6129
0.3871 0.6964 0.8627
0.6129 0.3036 0.1373
0.6964 0.8627 0.3871
0.8627 0.3871 0.6964
```

Output
Formation energy from the elements (eV per atom): 0.039
Raw total energy (eV/atom): -3.6982

---

4.
Computed, not measured: a geometry-optimized K3W structure at the PBE level of DFT.

```
K3W
1.0
7.7830 0.0000 0.0000
0.0000 12.0294 0.0000
0.0000 0.0000 3.7734
K W
6 2
direct
0.0000 0.0000 0.0000
0.2500 0.2500 0.5000
0.2500 0.7500 0.5000
0.5000 0.5000 0.0000
0.7500 0.2500 0.5000
0.7500 0.7500 0.5000
0.0000 0.5000 0.0000
0.5000 0.0000 0.0000
```

Output
Excess energy over the best structure of this formula in the dataset (kcal/mol of atoms): 15.19
Formation energy from the elements (eV per atom): 1.551
Raw total energy (eV/atom): -2.5099

---

5.
Computed, not measured: a geometry-optimized BaCu3Ge2 structure at the PBE level of DFT.

```
BaCu3Ge2
1.0
-2.0895 4.0139 7.5964
2.0895 -4.0139 7.5964
2.0895 4.0139 -7.5964
Ba Cu Ge
2 6 4
direct
0.1673 0.1673 0.0000
0.8327 0.8327 0.0000
0.2364 0.3872 0.8491
0.3362 0.0000 0.3362
0.4619 0.6128 0.8491
0.5381 0.3872 0.1509
0.6638 0.0000 0.6638
0.7636 0.6128 0.1509
0.1503 0.5000 0.6503
0.3497 0.8497 0.5000
0.6503 0.1503 0.5000
0.8497 0.5000 0.3497
```

Output
Formation energy from the elements (eV per atom): -0.165
Raw total energy (eV/atom): -4.0722

---

6.
Computed, not measured: a geometry-optimized Dy2CuPd6 structure at the PBE level of DFT.

```
Dy2CuPd6
1.0
6.7362 -3.8503 0.0000
6.7362 3.8503 0.0000
-0.8933 0.0000 3.3611
Dy Cu Pd
2 1 6
direct
0.1505 0.1505 0.1483
0.8495 0.8495 0.8517
0.5000 0.5000 0.5000
0.1286 0.5399 0.3352
0.2605 0.7395 0.0000
0.4601 0.8714 0.6648
0.5399 0.1286 0.3352
0.7395 0.2605 0.0000
0.8714 0.4601 0.6648
```

Output
Formation energy from the elements (eV per atom): -0.393
Raw total energy (eV/atom): -5.3327